(1)
DFT (PBE) results for a relaxed Ce3Pm5Te8 crystal.

abc: 8.969 8.969 8.969
angles: 59.73 59.73 59.73
Positions (direct):
Ce  0.000  0.500  0.500
Ce  0.500  0.000  0.500
Ce  0.500  0.500  0.000
Pm  0.000  0.000  0.000
Pm  0.000  0.000  0.500
Pm  0.000  0.500  0.000
Pm  0.500  0.000  0.000
Pm  0.500  0.500  0.500
Te  0.249  0.249  0.249
Te  0.249  0.750  0.750
Te  0.250  0.250  0.751
Te  0.250  0.751  0.250
Te  0.750  0.249  0.750
Te  0.750  0.750  0.249
Te  0.751  0.250  0.250
Te  0.751  0.751  0.751

Summary:
For the formation energy from raw total energies, the calculation gives -1399 meV per atom.


(2)
DFT (PBE) results for a relaxed Ce3Al3Pd2Pt crystal.

abc: 7.146 4.440 23.708
angles: 90.00 90.52 90.00
Positions (direct):
Ce  0.000  0.000  0.000
Ce  0.000  0.000  0.333
Ce  0.002  0.000  0.666
Ce  0.444  0.500  0.168
Ce  0.446  0.500  0.834
Ce  0.450  0.500  0.501
Ce  0.501  0.000  0.377
Ce  0.504  0.000  0.044
Ce  0.506  0.000  0.710
Ce  0.945  0.500  0.210
Ce  0.948  0.500  0.877
Ce  0.952  0.500  0.543
Al  0.124  0.000  0.128
Al  0.126  0.000  0.795
Al  0.129  0.000  0.461
Al  0.325  0.500  0.296
Al  0.329  0.500  0.962
Al  0.331  0.500  0.629
Al  0.625  0.000  0.250
Al  0.628  0.000  0.917
Al  0.631  0.000  0.583
Al  0.821  0.500  0.082
Al  0.823  0.500  0.749
Al  0.827  0.500  0.414
Pd  0.193  0.500  0.070
Pd  0.195  0.500  0.737
Pd  0.254  0.000  0.237
Pd  0.256  0.000  0.903
Pd  0.259  0.000  0.570
Pd  0.754  0.000  0.141
Pd  0.756  0.000  0.808
Pd  0.758  0.000  0.474
Pt  0.198  0.500  0.403
Pt  0.697  0.500  0.307
Pt  0.700  0.500  0.975
Pt  0.703  0.500  0.641

Summary:
The value obtained for the formation energy is -834.0 meV per atom.


(3)
DFT (PBE) results for a relaxed CaTlHg2W crystal.

abc: 5.703 5.703 5.637
angles: 90.00 90.00 90.00
Positions (direct):
Ca  0.000  0.000  0.000
Tl  0.500  0.500  0.500
Hg  0.000  0.500  0.000
Hg  0.500  0.000  0.000
W  0.000  0.000  0.500

Summary:
The value obtained for the formation energy is 1401.7 meV per atom. The excess energy over the best structure of this formula in the dataset comes out at 0 meV per atom.


(4)
DFT (PBE) results for a relaxed Cr3Se4 crystal.

abc: 11.149 11.149 11.149
angles: 161.62 161.62 26.11
Positions (direct):
Cr  0.000  0.000  0.000
Cr  0.319  0.319  0.000
Cr  0.681  0.681  0.000
Se  0.197  0.197  0.000
Se  0.432  0.432  0.000
Se  0.568  0.568  0.000
Se  0.803  0.803  0.000

Summary:
The excess energy over the best structure of this formula in the dataset comes out at 246 meV per atom. For the formation energy from raw total energies, the calculation gives -258 meV per atom.


(5)
DFT (PBE) results for a relaxed Ba2HgAu3 crystal.

abc: 9.895 9.579 6.558
angles: 72.94 67.74 39.32
Positions (direct):
Ba  0.247  0.753  0.753
Ba  0.250  0.250  0.250
Ba  0.750  0.750  0.750
Ba  0.753  0.247  0.247
Hg  0.334  0.334  0.666
Hg  0.666  0.666  0.334
Au  0.165  0.165  0.835
Au  0.165  0.669  0.331
Au  0.331  0.835  0.165
Au  0.669  0.165  0.835
Au  0.835  0.331  0.669
Au  0.835  0.835  0.165

Summary:
The value obtained for the formation energy is -667.8 meV per atom.


(6)
DFT (PBE) results for a relaxed CaLa15Tb4 crystal.

abc: 5.240 5.240 26.232
angles: 90.00 90.00 90.00
Positions (direct):
Ca  0.000  0.000  0.000
La  0.000  0.500  0.104
La  0.000  0.500  0.301
La  0.000  0.500  0.500
La  0.000  0.500  0.699
La  0.000  0.500  0.896
La  0.500  0.000  0.104
La  0.500  0.000  0.301
La  0.500  0.000  0.500
La  0.500  0.000  0.699
La  0.500  0.000  0.896
La  0.500  0.500  0.000
La  0.500  0.500  0.202
La  0.500  0.500  0.400
La  0.500  0.500  0.600
La  0.500  0.500  0.798
Tb  0.000  0.000  0.201
Tb  0.000  0.000  0.401
Tb  0.000  0.000  0.599
Tb  0.000  0.000  0.799

Summary:
The value obtained for the formation energy is 17.3 meV per atom.


(7)
DFT (PBE) results for a relaxed Nd5Tm3Bi8 crystal.

abc: 9.088 9.088 9.088
angles: 60.05 60.05 60.05
Positions (direct):
Nd  0.000  0.000  0.000
Nd  0.000  0.500  0.500
Nd  0.500  0.000  0.500
Nd  0.500  0.500  0.000
Nd  0.500  0.500  0.500
Tm  0.000  0.000  0.500
Tm  0.000  0.500  0.000
Tm  0.500  0.000  0.000
Bi  0.242  0.750  0.750
Bi  0.246  0.246  0.246
Bi  0.250  0.250  0.758
Bi  0.250  0.758  0.250
Bi  0.750  0.242  0.750
Bi  0.750  0.750  0.242
Bi  0.754  0.754  0.754
Bi  0.758  0.250  0.250

Summary:
The value obtained for the formation energy is -879.0 meV per atom.


(8)
DFT (PBE) results for a relaxed Rb2LiFePb crystal.

abc: 6.312 6.312 5.241
angles: 90.00 90.00 90.00
Positions (direct):
Rb  0.000  0.500  0.000
Rb  0.500  0.000  0.000
Li  0.000  0.000  0.000
Fe  0.500  0.500  0.500
Pb  0.000  0.000  0.500

Summary:
The value obtained for the formation energy is 772.3 meV per atom.


(9)
DFT (PBE) results for a relaxed Ca3NbZn crystal.

abc: 5.576 5.576 5.576
angles: 90.00 90.00 90.00
Positions (direct):
Ca  0.000  0.000  0.500
Ca  0.000  0.500  0.000
Ca  0.500  0.000  0.000
Nb  0.000  0.000  0.000
Zn  0.500  0.500  0.500

Summary:
The value obtained for the formation energy is 920.8 meV per atom. The excess energy over the best structure of this formula in the dataset comes out at 191 meV per atom.